1.
Compound: Ta2HgMo
Source: the Alexandria database
Functional: PBE-GGA
Structure: relaxed

Geometry as extended XYZ:
```
4
Lattice="-3.902 -2.539 2.493 -2.291 -3.712 -2.976 4.731 1.378 1.899" Properties=species:S:1:pos:R:3 pbc="T T T"
Ta -6.097 -6.154 -0.476
Ta -3.192 -3.222 -0.249
Hg -0.328 -2.730 -0.660
Mo -1.134 -2.143 2.075
```

- Size of the total moment: 0.000 μB per atom
- Crystal system: orthorhombic
- ΔE_f: 0.2315 eV/atom



2.
Compound: PrY5Er
Source: the Alexandria database
Functional: PBE-GGA
Structure: relaxed

Geometry as extended XYZ:
```
7
Lattice="5.816 0.000 0.000 2.908 7.340 0.479 2.908 1.784 7.136" Properties=species:S:1:pos:R:3 pbc="T T T"
Y 2.908 4.562 3.808
Y 5.816 2.781 5.942
Y 5.816 2.306 1.924
Y 5.816 6.344 1.674
Y 5.816 6.819 5.691
Pr 0.000 0.000 0.000
Er 5.816 4.562 3.808
```

- Size of the total moment: 0.000 μB per atom
- Crystal system: orthorhombic
- Relative energy among the computed polymorphs: 908 meV per atom
- ΔE_f: 1.0908 eV/atom



3.
Compound: InTc4Pb
Source: the Alexandria database
Functional: PBE-GGA
Structure: relaxed

Geometry as extended XYZ:
```
6
Lattice="0.000 3.764 3.764 3.764 0.000 3.764 3.764 3.764 0.000" Properties=species:S:1:pos:R:3 pbc="T T T"
Pb 0.000 0.000 0.000
Tc 2.824 2.824 2.824
Tc 4.705 2.824 4.705
Tc 2.824 4.705 4.705
Tc 4.705 4.705 2.824
In 5.646 5.646 5.646
```

- Size of the total moment: 0.000 μB per atom
- Crystal system: cubic
- ΔE_f: 0.5372 eV/atom



4.
Compound: K3Sn2Au3
Source: the Alexandria database
Functional: PBE-GGA
Structure: relaxed

Geometry as extended XYZ:
```
16
Lattice="4.440 0.000 0.000 -2.220 6.158 0.000 0.000 0.000 17.435" Properties=species:S:1:pos:R:3 pbc="T T T"
Sn 2.220 1.705 14.721
Sn 0.000 4.453 6.004
Sn 2.220 1.705 11.432
Sn 0.000 4.453 2.714
K 0.000 4.477 13.076
K 0.000 4.252 9.637
K 2.220 1.906 0.919
K 0.000 4.252 16.516
K 2.220 1.681 4.359
K 2.220 1.906 7.798
Au 0.000 0.517 10.021
Au 2.220 5.641 7.414
Au 0.000 1.023 13.076
Au 2.220 5.641 1.303
Au 0.000 0.517 16.132
Au 2.220 5.135 4.359
```

- Size of the total moment: 0.000 μB per atom
- Crystal system: orthorhombic
- Relative energy among the computed polymorphs: 53 meV per atom
- ΔE_f: -0.2666 eV/atom



5.
Compound: ZrMnAs2
Source: the Alexandria database
Functional: PBE-GGA
Structure: relaxed

Geometry as extended XYZ:
```
4
Lattice="-1.528 3.567 2.311 -3.251 -1.511 0.182 -0.335 -2.865 4.201" Properties=species:S:1:pos:R:3 pbc="T T T"
As -0.625 -2.852 3.989
As -2.008 0.080 2.963
Mn -1.485 -1.514 1.355
Zr -3.124 -1.576 4.780
```

- Size of the total moment: 0.730 μB per atom
- Crystal system: monoclinic
- ΔE_f: -0.4355 eV/atom



6.
Compound: PmNd2Sm5Dy
Source: the Alexandria database
Functional: PBE-GGA
Structure: relaxed

Geometry as extended XYZ:
```
18
Lattice="-2.356 1.563 8.317 -4.835 -7.334 0.009 9.911 -1.275 -1.592" Properties=species:S:1:pos:R:3 pbc="T T T"
Dy 0.740 -5.748 1.290
Dy 1.980 -1.299 5.444
Sm 6.448 -1.207 0.099
Sm 0.063 -2.254 3.126
Sm -3.728 -5.840 6.636
Sm 0.000 0.000 0.000
Sm 2.657 -4.792 3.608
Sm -3.596 -2.886 4.163
Sm 4.216 -4.997 -0.551
Sm -1.496 -2.050 7.285
Sm 4.890 -1.002 4.258
Sm -2.170 -6.045 2.476
Nd -5.162 -5.870 3.182
Nd -2.029 0.098 5.144
Nd -5.067 -3.157 7.338
Nd -2.124 -2.614 0.988
Pm -0.438 -4.966 5.449
Pm 3.158 -2.080 1.286
```

- Size of the total moment: 0.000 μB per atom
- Crystal system: tetragonal
- ΔE_f: 0.2685 eV/atom



7.
Compound: BaTi4SnO12
Source: the Alexandria database
Functional: PBE-GGA
Structure: relaxed

Geometry as extended XYZ:
```
18
Lattice="-5.334 -1.379 -0.706 1.462 -5.318 -0.659 -0.714 -1.142 7.628" Properties=species:S:1:pos:R:3 pbc="T T T"
Ti -3.200 -1.542 5.343
Ti 0.550 -2.948 1.603
Ti -2.848 -0.979 1.579
Ti 0.198 -3.511 5.366
O -4.212 -3.171 4.905
O -3.458 -5.913 4.565
O -1.128 -1.926 1.698
O -2.667 -0.689 -0.353
O -3.878 -2.637 1.334
O -3.124 -5.378 0.994
O -3.024 -1.260 3.461
O -0.374 -4.667 1.358
O -1.462 -2.460 5.269
O 0.731 -2.659 -0.330
O -0.708 -5.202 4.929
O 0.374 -3.230 3.484
Ba -1.936 -3.348 -0.682
Sn -0.357 -0.571 3.814
```

- Size of the total moment: 0.170 μB per atom
- ΔE_f (raw): -2255 meV/atom
- Crystal system: tetragonal



8.
Compound: TlPb2C
Source: the Alexandria database
Functional: PBE-GGA
Structure: relaxed

Geometry as extended XYZ:
```
4
Lattice="1.851 -4.842 -0.561 -0.978 -3.603 3.640 -3.262 -3.934 -1.036" Properties=species:S:1:pos:R:3 pbc="T T T"
C 0.000 0.000 0.000
Tl -1.195 -6.190 1.022
Pb -0.597 -3.095 0.511
Pb -1.792 -9.285 1.533
```

- Size of the total moment: 0.000 μB per atom
- Crystal system: cubic
- Relative energy among the computed polymorphs: 447 meV per atom
- ΔE_f: 1.3892 eV/atom



9.
Compound: ScBeIr3
Source: the Alexandria database
Functional: PBE-GGA
Structure: relaxed

Geometry as extended XYZ:
```
5
Lattice="4.652 0.000 0.000 0.000 4.652 0.000 0.000 0.000 4.652" Properties=species:S:1:pos:R:3 pbc="T T T"
Be 2.326 2.326 2.326
Ir 2.326 0.000 0.000
Ir 0.000 2.326 0.000
Ir 0.000 0.000 2.326
Sc 0.000 0.000 0.000
```

- Size of the total moment: 0.000 μB per atom
- Crystal system: cubic
- Relative energy among the computed polymorphs: 2172 meV per atom
- ΔE_f: 1.7528 eV/atom



10.
Compound: Fe3Ir6Os
Source: the Alexandria database
Functional: PBE-GGA
Structure: relaxed

Geometry as extended XYZ:
```
20
Lattice="-1.221 -3.126 -1.846 4.691 2.114 -6.685 6.479 -4.484 3.307" Properties=species:S:1:pos:R:3 pbc="T T T"
Fe 0.279 -1.809 -3.081
Fe 5.101 -4.095 -2.401
Fe 9.670 -3.687 -2.142
Fe 4.849 -1.401 -2.823
Fe 3.403 -1.865 -5.055
Fe 6.546 -3.631 -0.169
Ir 4.164 -0.791 -7.379
Ir 8.250 -4.148 -4.396
Ir 5.591 -0.327 -5.133
Ir 2.467 -0.274 -3.156
Ir 4.358 -5.169 -0.090
Ir 7.240 -2.544 -2.470
Ir 5.785 -4.706 2.155
Ir 2.709 -2.953 -2.753
Ir 4.143 -2.501 -0.493
Ir 1.699 -1.349 -0.828
Ir 5.806 -2.996 -4.730
Ir 7.483 -5.223 -2.067
Os 1.925 -4.046 -0.383
Os 8.024 -1.451 -4.840
```

- Size of the total moment: 0.788 μB per atom
- Crystal system: monoclinic
- ΔE_f: -0.0257 eV/atom



11.
Compound: K2Pu2ZrSe6
Source: the Alexandria database
Functional: PBE-GGA
Structure: relaxed

Geometry as extended XYZ:
```
11
Lattice="-2.470 3.278 5.806 4.017 -5.825 0.699 5.912 5.323 -1.979" Properties=species:S:1:pos:R:3 pbc="T T T"
Zr 2.956 2.662 -0.990
Se 5.292 1.806 3.502
Se 3.457 4.589 0.904
Se 4.002 -1.813 3.622
Se 1.943 1.076 5.243
Se 2.167 0.970 1.023
Se 5.515 1.700 -0.717
K 2.918 -4.283 1.564
K -1.371 1.736 4.941
Pu 2.649 2.905 3.114
Pu 4.810 -0.129 1.412
```

- Size of the total moment: 0.909 μB per atom
- ΔE_f (raw): -1432 meV/atom
- Crystal system: monoclinic



12.
Compound: NiBiPdRh
Source: the Alexandria database
Functional: PBE-GGA
Structure: relaxed

Geometry as extended XYZ:
```
4
Lattice="-3.141 -2.604 1.961 1.235 -3.726 2.254 -0.337 -0.131 4.512" Properties=species:S:1:pos:R:3 pbc="T T T"
Pd -0.561 -1.615 2.182
Bi 0.000 0.000 0.000
Rh -1.682 -4.846 6.545
Ni -1.121 -3.231 4.364
```

- Size of the total moment: 0.000 μB per atom
- Crystal system: cubic
- ΔE_f: 0.0399 eV/atom